VASP calculation (PBE) on an optimized crystal structure of RbFe4.

POSCAR file:
```
RbFe4
1.0
4.583 0.000 0.000
0.000 4.583 0.000
0.000 0.000 4.583
Rb Fe
1 4
Cartesian
0.000 0.000 0.000 Rb
0.000 0.000 2.291 Fe
0.000 2.291 0.000 Fe
2.291 0.000 0.000 Fe
2.291 2.291 2.291 Fe
```

Output
- Space group: Pm-3m, No. 221
- Total moment: 2.17 μB/atom
- Raw total energy: -0.3072 Ry/atom

VASP calculation (PBE) on an optimized crystal structure of NaSiNi4P2.

POSCAR file:
```
NaSiNi4P2
1.0
3.840 0.000 0.000
0.000 3.840 0.000
0.000 0.000 7.233
Na Si Ni P
1 1 4 2
Cartesian
0.000 0.000 0.000 Na
0.000 0.000 3.617 Si
0.000 1.920 2.286 Ni
0.000 1.920 4.947 Ni
1.920 0.000 2.286 Ni
1.920 0.000 4.947 Ni
1.920 1.920 1.142 P
1.920 1.920 6.091 P
```

Output
- Space group: P4/mmm, No. 123
- Total moment: 0.00 μB/atom
- ΔE_f (raw): -490 meV per atom
- Raw total energy: -0.4098 Ry/atom

VASP calculation (PBE) on an optimized crystal structure of Mn3Ag.

POSCAR file:
```
Mn3Ag
1.0
4.454 2.571 0.912
-4.454 2.571 0.912
0.000 -5.143 0.912
Mn Ag
3 1
Cartesian
-2.227 -1.286 0.912 Mn
-2.227 1.286 1.824 Mn
0.000 2.571 0.912 Mn
0.000 0.000 0.000 Ag
```

Output
- Space group: R-3m, No. 166
- Total moment: 2.78 μB/atom
- Raw total energy: -0.5184 Ry/atom

VASP calculation (PBE) on an optimized crystal structure of CaBeIr3.

POSCAR file:
```
CaBeIr3
1.0
4.736 0.000 0.000
0.000 4.736 0.000
0.000 0.000 4.736
Ca Be Ir
1 1 3
Cartesian
0.000 0.000 0.000 Ca
2.368 2.368 2.368 Be
0.000 0.000 2.368 Ir
0.000 2.368 0.000 Ir
2.368 0.000 0.000 Ir
```

Output
- Space group: Pm-3m, No. 221
- Total moment: 0.00 μB/atom
- Distance to the lowest polymorph of the same formula: 2.601 eV/atom
- Raw total energy: -0.2861 Ry/atom